# 1
Entry from the Alexandria database: a geometry-optimized BaBe2Cu structure (PBEsol).

Properties
* formation enthalpy at 0 K: 3.46 eV per formula unit
* energy above the lowest structure with this stoichiometry: 744 meV per atom

Unit cell a=4.7544 b=4.7544 c=6.5946 alpha=90.00 beta=90.00 gamma=90.00
Closest atoms and distances in Å follow each position.
Fractional positions:
Ba 0.0000 0.0000 0.0000  8 Be 2.89
Ba 0.5000 0.5000 0.5000  8 Be 2.89
Be 0.0000 0.5000 0.2500  4 Ba 2.89, 4 Cu 2.89
Be 0.0000 0.5000 0.7500  4 Ba 2.89, 4 Cu 2.89
Be 0.5000 0.0000 0.2500  4 Ba 2.89, 4 Cu 2.89
Be 0.5000 0.0000 0.7500  4 Ba 2.89, 4 Cu 2.89
Cu 0.0000 0.0000 0.5000  8 Be 2.89
Cu 0.5000 0.5000 0.0000  8 Be 2.89


# 2
Entry from the Alexandria database: a geometry-optimized Ba2TeAs structure (PBEsol).

Properties
* formation energy without anion corrections: -0.8440 eV/atom

Unit cell a=7.1649 b=7.1649 c=16.4019 alpha=90.00 beta=90.00 gamma=90.00
Closest atoms and distances in Å follow each position.
Fractional positions:
Ba 0.2272 0.2500 0.1250  2 As 3.17, 2 Te 3.35
Ba 0.2500 0.7272 0.3750  2 As 3.17, 2 Te 3.35
Ba 0.2500 0.7728 0.8750  2 As 3.17, 2 Te 3.35
Ba 0.2728 0.2500 0.6250  2 As 3.17, 2 Te 3.35
Ba 0.7272 0.7500 0.6250  2 As 3.17, 2 Te 3.35
Ba 0.7500 0.2272 0.8750  2 As 3.17, 2 Te 3.35
Ba 0.7500 0.2728 0.3750  2 As 3.17, 2 Te 3.35
Ba 0.7728 0.7500 0.1250  2 As 3.17, 2 Te 3.35
Te 0.0000 0.0000 0.5000  4 Ba 3.35
Te 0.0000 0.5000 0.7500  4 Ba 3.35
Te 0.5000 0.0000 0.2500  4 Ba 3.35
Te 0.5000 0.5000 0.0000  4 Ba 3.35
As 0.0000 0.0000 0.0000  4 Ba 3.17
As 0.0000 0.5000 0.2500  4 Ba 3.17
As 0.5000 0.0000 0.7500  4 Ba 3.17
As 0.5000 0.5000 0.5000  4 Ba 3.17


# 3
Entry from the Alexandria database: a geometry-optimized HfScSN2 structure (PBEsol).

Properties
* formation energy without anion corrections: -0.6213 eV/atom

Unit cell a=4.0479 b=4.0479 c=4.9470 alpha=90.00 beta=90.00 gamma=90.00
Closest atoms and distances in Å follow each position.
Fractional positions:
Hf 0.0000 0.0000 0.0000  4 N 2.02
Sc 0.5000 0.5000 0.5000  4 S 2.86, 8 N 3.20
S 0.0000 0.0000 0.5000  2 Hf 2.47
N 0.0000 0.5000 0.0000  2 Hf 2.02
N 0.5000 0.0000 0.0000  2 Hf 2.02


# 4
Entry from the Alexandria database: a geometry-optimized AlGa2C structure (PBEsol).

Properties
* formation enthalpy at 0 K: 2.31 eV per formula unit

Unit cell a=5.5989 b=5.5989 c=8.7278 alpha=90.00 beta=90.00 gamma=90.00
Closest atoms and distances in Å follow each position.
Fractional positions:
Al 0.0000 0.0000 0.0000  4 Ga 2.62
Al 0.0000 0.5000 0.2500  4 Ga 2.62
Al 0.5000 0.0000 0.7500  4 Ga 2.62
Al 0.5000 0.5000 0.5000  4 Ga 2.62
Ga 0.1550 0.2500 0.6250  2 C 1.98
Ga 0.2500 0.6550 0.8750  2 C 1.98
Ga 0.2500 0.8450 0.3750  2 C 1.98
Ga 0.3450 0.2500 0.1250  2 C 1.98
Ga 0.6550 0.7500 0.1250  2 C 1.98
Ga 0.7500 0.1550 0.3750  2 C 1.98
Ga 0.7500 0.3450 0.8750  2 C 1.98
Ga 0.8450 0.7500 0.6250  2 C 1.98
C 0.0000 0.0000 0.5000  4 Ga 1.98
C 0.0000 0.5000 0.7500  4 Ga 1.98
C 0.5000 0.0000 0.2500  4 Ga 1.98
C 0.5000 0.5000 0.0000  4 Ga 1.98


# 5
Entry from the Alexandria database: a geometry-optimized SiBiNF2 structure (PBEsol).

Properties
* formation energy without anion corrections: -0.1260 eV/atom

Unit cell a=4.4408 b=4.4408 c=4.4814 alpha=90.00 beta=90.00 gamma=90.00
Closest atoms and distances in Å follow each position.
Fractional positions:
Si 0.0000 0.0000 0.0000  4 N 3.14, 8 F 3.15
Bi 0.5000 0.5000 0.5000  4 F 2.22, 2 N 2.24
N 0.5000 0.5000 0.0000  2 Bi 2.24
F 0.0000 0.5000 0.5000  2 Bi 2.22
F 0.5000 0.0000 0.5000  2 Bi 2.22


# 6
Entry from the Alexandria database: a geometry-optimized BiPSO2 structure (PBEsol).

Properties
* formation energy without anion corrections: 0.2877 eV/atom

Unit cell a=3.9863 b=3.9863 c=5.9455 alpha=90.00 beta=90.00 gamma=90.00
Closest atoms and distances in Å follow each position.
Fractional positions:
Bi 0.0000 0.0000 0.0000  4 O 1.99
P 0.0000 0.0000 0.5000  4 S 2.82, 2 Bi 2.97
S 0.5000 0.5000 0.5000  4 P 2.82
O 0.0000 0.5000 0.0000  2 Bi 1.99
O 0.5000 0.0000 0.0000  2 Bi 1.99


| no. | volume (Å³ per cell) |
| --- | --- |
| 1 | 149 |
| 2 | 842 |
| 3 | 81 |
| 4 | 274 |
| 5 | 88 |
| 6 | 94 |